Entry 1:
This record from the Alexandria database describes SbAsPb2 after structural relaxation. The functional is PBE-GGA.

Cell and atoms, written as POSCAR:
```
SbAsPb2
1.0
3.4114 -0.0185 0.0000
-1.2718 3.1655 0.0000
0.0000 0.0000 10.4481
Pb Sb As
2 1 1
Direct
0.0000 0.0000 0.9781
0.5000 0.5000 0.2539
0.0000 0.0000 0.5368
0.5000 0.5000 0.7312
```

Properties
**DOS(E_F)**: 2.65 states/eV/cell
**ΔE to the lowest computed polymorph**: 155 meV/atom
**Raw formation energy**: 0.211 eV per atom

Entry 2:
This record from the Alexandria database describes SbAsPb2 after structural relaxation. The functional is PBE-GGA.

Cell and atoms, written as POSCAR:
```
SbAsPb2
1.0
5.3892 0.0000 0.0000
2.6946 4.6672 0.0000
2.6946 1.5557 4.4002
As Pb Sb
1 2 1
Direct
0.5000 0.5000 0.5000
0.2500 0.2500 0.2500
0.0000 0.0000 0.0000
0.7500 0.7500 0.7500
```

Properties
**DOS(E_F)**: 4.67 states/eV/cell
**ΔE to the lowest computed polymorph**: 199 meV/atom
**Raw formation energy**: 0.255 eV per atom

Entry 3:
This record from the Alexandria database describes SbAs4Pb after structural relaxation. The functional is PBE-GGA.

Cell and atoms, written as POSCAR:
```
SbAs4Pb
1.0
0.0000 4.1648 4.1648
4.1648 0.0000 4.1648
4.1648 4.1648 0.0000
As Pb Sb
4 1 1
Direct
0.3624 0.9127 0.3624
0.9127 0.3624 0.3624
0.3624 0.3624 0.3624
0.3624 0.3624 0.9127
0.7500 0.7500 0.7500
0.0000 0.0000 0.0000
```

Properties
**DOS(E_F)**: 4.39 states/eV/cell
**Raw formation energy**: 0.365 eV per atom